Entry 1:
{"formula": "Sc2TaTe", "functional": "PBE", "state": "relaxed", "lattice": [[-1.3549, -0.8031, 4.5546], [0.0345, -3.3783, -0.5854], [5.1534, -1.8749, 1.2024]], "species": ["Sc", "Sc", "Ta", "Te"], "frac_coords": [[0.0000, 0.9700, 0.9378], [0.5000, 0.2755, 0.3213], [0.0000, 0.7020, 0.4686], [0.5000, 0.5525, 0.7723]], "e_tot_ev_per_atom": -7.116, "formation_energy_uncorrected_ev_per_atom": -0.201, "n_ef_per_ev_atom": 1.127, "de_polymorph_mev_per_atom": 127.0, "magnetic_moment_mub_per_atom": 0.000}

Entry 2:
{"formula": "TiBiC", "functional": "PBE", "state": "relaxed", "lattice": [[4.0817, 0.0000, 0.0000], [0.0000, 3.8506, 0.0000], [-2.0408, -1.9253, 7.4059]], "species": ["Bi", "Bi", "C", "C", "Ti", "Ti"], "frac_coords": [[0.6803, 0.1803, 0.3605], [0.3197, 0.8197, 0.6395], [0.6616, 0.5000, 0.0000], [0.3384, 0.5000, 0.0000], [0.1033, 0.6033, 0.2066], [0.8967, 0.3967, 0.7934]], "ef_ev_per_atom": 0.286, "e_tot_ev_per_atom": -6.714, "n_ef_per_ev_atom": 0.651, "magnetic_moment_mub_per_atom": 0.000}

Entry 3:
{"formula": "CaSb2Cl", "functional": "PBE", "state": "relaxed", "lattice": [[-2.9482, -3.1391, 2.6380], [1.0410, -3.8394, 3.1113], [-0.5754, 1.6260, 7.2546]], "species": ["Sb", "Sb", "Ca", "Cl"], "frac_coords": [[0.0279, 0.0279, 0.9736], [0.7753, 0.7753, 0.8078], [0.5044, 0.5044, 0.3424], [0.1924, 0.1924, 0.3761]], "e_tot_ev_per_atom": -3.955, "formation_energy_uncorrected_ev_per_atom": -0.932, "n_ef_per_ev_atom": 0.310, "de_polymorph_mev_per_atom": 39.3, "magnetic_moment_mub_per_atom": 0.000}

Entry 4:
{"formula": "SrLi2W", "functional": "PBE", "state": "relaxed", "lattice": [[2.8795, 0.0000, 0.0000], [0.0000, 5.4705, 0.0000], [0.0000, 0.0000, 5.6535]], "species": ["Li", "Li", "Sr", "W"], "frac_coords": [[0.0000, 0.0000, 0.0000], [0.5000, 0.5000, 0.0000], [0.5000, 0.0000, 0.5000], [0.0000, 0.5000, 0.5000]], "ef_ev_per_atom": 1.014, "e_tot_ev_per_atom": -3.602, "n_ef_per_ev_atom": 0.811, "de_polymorph_mev_per_atom": 286.7, "magnetic_moment_mub_per_atom": 0.000}

Entry 5:
{"formula": "MnAlGaRe", "functional": "PBE", "state": "relaxed", "lattice": [[4.3038, 0.0000, 0.0000], [2.1519, 3.7272, 0.0000], [2.1519, 1.2424, 3.5140]], "species": ["Re", "Mn", "Al", "Ga"], "frac_coords": [[0.7500, 0.7500, 0.7500], [0.2500, 0.2500, 0.2500], [0.0000, 0.0000, 0.0000], [0.5000, 0.5000, 0.5000]], "ef_ev_per_atom": -0.016, "e_tot_ev_per_atom": -7.112, "n_ef_per_ev_atom": 0.752, "magnetic_moment_mub_per_atom": 0.723}

Entry 6:
{"formula": "Ca2ReSiP", "functional": "PBE", "state": "relaxed", "lattice": [[5.6004, 0.0000, 0.0000], [0.0000, 4.4615, 0.0000], [0.0000, 0.0000, 5.6004]], "species": ["Re", "Ca", "Ca", "Si", "P"], "frac_coords": [[0.0000, 0.0000, 0.0000], [0.0000, 0.0000, 0.5000], [0.5000, 0.0000, 0.0000], [0.5000, 0.5000, 0.5000], [0.0000, 0.5000, 0.0000]], "e_tot_ev_per_atom": -4.981, "formation_energy_uncorrected_ev_per_atom": 0.475, "n_ef_per_ev_atom": 0.590, "magnetic_moment_mub_per_atom": 0.308}

Entry 7:
{"formula": "MgOsCl2", "functional": "PBE", "state": "relaxed", "lattice": [[3.0985, 0.0000, 0.0000], [0.0000, 3.8394, 0.0000], [0.0000, 0.0000, 6.1548]], "species": ["Cl", "Cl", "Mg", "Os"], "frac_coords": [[0.0000, 0.0000, 0.0022], [0.0000, 0.0000, 0.4978], [0.5000, 0.5000, 0.2500], [0.5000, 0.5000, 0.7500]], "e_tot_ev_per_atom": -3.418, "formation_energy_uncorrected_ev_per_atom": 0.711, "n_ef_per_ev_atom": 0.627, "de_polymorph_mev_per_atom": 929.1, "magnetic_moment_mub_per_atom": 0.608}

Entry 8:
{"formula": "InSeI2", "functional": "PBE", "state": "relaxed", "lattice": [[-0.2967, -0.7809, 7.1969], [7.4288, -1.9760, 0.0918], [2.6322, 9.9199, 1.1888]], "species": ["In", "In", "In", "In", "Se", "Se", "Se", "Se", "I", "I", "I", "I", "I", "I", "I", "I"], "frac_coords": [[0.9996, 0.2501, 0.6326], [0.0004, 0.7499, 0.3674], [0.4995, 0.2497, 0.8674], [0.5005, 0.7503, 0.1326], [0.2500, 0.5572, 0.2495], [0.7500, 0.4428, 0.7505], [0.7500, 0.9430, 0.2505], [0.2500, 0.0570, 0.7495], [0.7407, 0.9293, 0.9174], [0.2593, 0.0707, 0.0826], [0.2406, 0.5707, 0.5826], [0.7594, 0.4293, 0.4174], [0.7409, 0.4296, 0.0826], [0.2591, 0.5704, 0.9174], [0.2410, 0.0705, 0.4174], [0.7590, 0.9295, 0.5826]], "e_tot_ev_per_atom": -2.534, "formation_energy_uncorrected_ev_per_atom": -0.204, "n_ef_per_ev_atom": 0.886, "de_polymorph_mev_per_atom": 0.0, "magnetic_moment_mub_per_atom": 0.000}

Entry 9:
{"formula": "DyTh2GaN5", "functional": "PBE", "state": "relaxed", "lattice": [[3.4870, 0.0000, 0.0000], [-1.7435, 7.0134, 0.0000], [0.0000, 0.0000, 10.5386]], "species": ["Dy", "Dy", "Th", "Th", "Th", "Th", "Ga", "Ga", "N", "N", "N", "N", "N", "N", "N", "N", "N", "N"], "frac_coords": [[0.7976, 0.5953, 0.4944], [0.2024, 0.4047, 0.9944], [0.8701, 0.7402, 0.7881], [0.1224, 0.2448, 0.6895], [0.1299, 0.2598, 0.2881], [0.8776, 0.7552, 0.1895], [0.5055, 0.0111, 0.9836], [0.4945, 0.9889, 0.4836], [0.3633, 0.7266, 0.0149], [0.6959, 0.3919, 0.8388], [0.4993, 0.9986, 0.7936], [0.2974, 0.5948, 0.6581], [0.9593, 0.9186, 0.5629], [0.6367, 0.2734, 0.5149], [0.3041, 0.6081, 0.3388], [0.5007, 0.0014, 0.2936], [0.7026, 0.4052, 0.1581], [0.0407, 0.0814, 0.0629]], "e_tot_ev_per_atom": -8.227, "formation_energy_uncorrected_ev_per_atom": -1.105, "n_ef_per_ev_atom": 0.590, "magnetic_moment_mub_per_atom": 0.000}

Entry 10:
{"formula": "BeIn2Cu2", "functional": "PBE", "state": "relaxed", "lattice": [[-1.0464, 1.7455, -3.6240], [-2.9668, -2.8635, -0.5226], [-5.7298, 2.8065, 0.6228]], "species": ["Be", "Cu", "Cu", "In", "In"], "frac_coords": [[0.0000, 0.0000, 0.0000], [0.3997, 0.3997, 0.2006], [0.6003, 0.6003, 0.7994], [0.7500, 0.2500, 0.5000], [0.2500, 0.7500, 0.5000]], "ef_ev_per_atom": 0.685, "e_tot_ev_per_atom": -2.794, "n_ef_per_ev_atom": 0.490, "de_polymorph_mev_per_atom": 435.1, "magnetic_moment_mub_per_atom": 0.000}

Entry 11:
{"formula": "BRhOF2", "functional": "PBE", "state": "relaxed", "lattice": [[-2.4175, 0.8481, -3.4469], [2.4319, -2.6423, -2.3557], [-2.2493, -2.8511, 0.8760]], "species": ["B", "Rh", "O", "F", "F"], "frac_coords": [[0.5000, 0.5000, 0.5000], [0.0000, 0.0000, 0.0000], [0.0000, 0.0000, 0.5000], [0.0000, 0.5000, 0.0000], [0.5000, 0.0000, 0.0000]], "e_tot_ev_per_atom": -4.494, "formation_energy_uncorrected_ev_per_atom": 0.052, "n_ef_per_ev_atom": 0.710, "de_polymorph_mev_per_atom": 988.0, "magnetic_moment_mub_per_atom": 0.000}

Entry 12:
{"formula": "Tb4Nd8Sc", "functional": "PBE", "state": "relaxed", "lattice": [[-7.6261, 8.1518, -0.7624], [3.2181, -5.4749, -9.1670], [0.7652, -6.6166, 4.2203]], "species": ["Tb", "Tb", "Tb", "Tb", "Nd", "Nd", "Nd", "Nd", "Nd", "Nd", "Nd", "Nd", "Sc"], "frac_coords": [[0.0000, 0.0000, 0.0000], [0.0000, 0.5000, 0.0000], [0.5000, 0.5000, 0.0000], [0.5000, 0.0000, 0.0000], [0.5165, 0.7582, 0.2765], [0.4835, 0.2418, 0.7235], [0.4812, 0.2406, 0.2318], [0.0084, 0.2490, 0.7680], [0.5188, 0.7594, 0.7682], [0.0083, 0.7594, 0.7680], [0.9917, 0.2406, 0.2320], [0.9916, 0.7510, 0.2320], [0.0000, 0.5000, 0.5000]], "ef_ev_per_atom": 0.478, "e_tot_ev_per_atom": -4.368, "n_ef_per_ev_atom": 1.732, "magnetic_moment_mub_per_atom": 0.000}

Entry 13:
{"formula": "La4PrTm15", "functional": "PBE", "state": "relaxed", "lattice": [[-4.5593, -0.6958, 2.0489], [1.4853, -4.4815, 1.7831], [7.7844, 10.9519, 21.0413]], "species": ["La", "La", "La", "La", "Pr", "Tm", "Tm", "Tm", "Tm", "Tm", "Tm", "Tm", "Tm", "Tm", "Tm", "Tm", "Tm", "Tm", "Tm", "Tm"], "frac_coords": [[0.0000, 0.0000, 0.2002], [0.0000, 0.0000, 0.4000], [0.0000, 0.0000, 0.6000], [0.0000, 0.0000, 0.7998], [0.0000, 0.0000, 0.0000], [0.5000, 0.5000, 0.0000], [0.5000, 0.5000, 0.1996], [0.5000, 0.5000, 0.4000], [0.5000, 0.5000, 0.6000], [0.5000, 0.5000, 0.8004], [0.5000, 0.0000, 0.0990], [0.5000, 0.0000, 0.2998], [0.5000, 0.0000, 0.5000], [0.5000, 0.0000, 0.7002], [0.5000, 0.0000, 0.9010], [0.0000, 0.5000, 0.0990], [0.0000, 0.5000, 0.2998], [0.0000, 0.5000, 0.5000], [0.0000, 0.5000, 0.7002], [0.0000, 0.5000, 0.9010]], "ef_ev_per_atom": 0.039, "e_tot_ev_per_atom": -4.539, "n_ef_per_ev_atom": 1.645, "magnetic_moment_mub_per_atom": 0.000}

Entry 14:
{"formula": "Al2HgBr", "functional": "PBE", "state": "relaxed", "lattice": [[6.3173, 0.0000, 0.0000], [0.0000, 6.3173, 0.0000], [3.1586, 3.1586, 6.2628]], "species": ["Hg", "Hg", "Br", "Br", "Al", "Al", "Al", "Al"], "frac_coords": [[0.0000, 0.0000, 0.0000], [0.7500, 0.2500, 0.5000], [0.5000, 0.5000, 0.0000], [0.2500, 0.7500, 0.5000], [0.6590, 0.1250, 0.2500], [0.0910, 0.6250, 0.2500], [0.3750, 0.3410, 0.7500], [0.8750, 0.9090, 0.7500]], "e_tot_ev_per_atom": -2.180, "formation_energy_uncorrected_ev_per_atom": 0.185, "n_ef_per_ev_atom": 0.614, "de_polymorph_mev_per_atom": 192.2, "magnetic_moment_mub_per_atom": 0.000}

Entry 15:
{"formula": "LaIn2Ru", "functional": "PBE", "state": "relaxed", "lattice": [[3.3793, 0.0000, 0.0000], [0.0000, 3.3787, 0.0000], [0.0000, 0.0000, 7.9186]], "species": ["In", "In", "La", "Ru"], "frac_coords": [[0.0000, 0.0000, 0.9423], [0.0000, 0.0000, 0.5577], [0.5000, 0.5000, 0.2500], [0.5000, 0.5000, 0.7500]], "ef_ev_per_atom": -0.192, "e_tot_ev_per_atom": -5.112, "n_ef_per_ev_atom": 0.806, "magnetic_moment_mub_per_atom": 0.000}

Entry 16:
{"formula": "NdTmSc", "functional": "PBE", "state": "relaxed", "lattice": [[3.3939, 0.0000, 0.0000], [0.0000, 5.5145, 0.0000], [0.0000, -2.7573, 4.7757]], "species": ["Sc", "Tm", "Nd"], "frac_coords": [[0.1674, 0.3333, 0.6667], [0.1660, 0.0000, 0.0000], [0.6666, 0.6667, 0.3333]], "ef_ev_per_atom": 0.085, "e_tot_ev_per_atom": -5.105, "n_ef_per_ev_atom": 1.656, "de_polymorph_mev_per_atom": 32.6, "magnetic_moment_mub_per_atom": 0.000}

Entry 17:
{"formula": "SrBSe", "functional": "PBE", "state": "relaxed", "lattice": [[-2.2553, -1.2038, -3.9087], [-5.0822, -4.8760, 4.4341], [-3.3513, 6.9412, -0.2041]], "species": ["Sr", "Sr", "Sr", "Sr", "B", "B", "B", "B", "Se", "Se", "Se", "Se"], "frac_coords": [[0.2464, 0.6885, 0.7651], [0.7464, 0.8115, 0.2349], [0.7536, 0.3115, 0.2349], [0.2536, 0.1885, 0.7651], [0.6149, 0.9811, 0.9296], [0.1149, 0.5189, 0.0704], [0.3851, 0.0189, 0.0704], [0.8851, 0.4811, 0.9296], [0.2625, 0.5837, 0.3194], [0.7625, 0.9163, 0.6806], [0.7375, 0.4163, 0.6806], [0.2375, 0.0837, 0.3194]], "e_tot_ev_per_atom": -4.712, "formation_energy_uncorrected_ev_per_atom": -0.764, "magnetic_moment_mub_per_atom": 0.000}

Entry 18:
{"formula": "U2BeB10", "functional": "PBE", "state": "relaxed", "lattice": [[-1.6668, 2.4738, -2.7864], [-4.2314, -3.4004, -0.4877], [-5.1920, 5.3360, 7.8431]], "species": ["U", "U", "U", "U", "Be", "Be", "B", "B", "B", "B", "B", "B", "B", "B", "B", "B", "B", "B", "B", "B", "B", "B", "B", "B", "B", "B"], "frac_coords": [[0.5000, 0.3077, 0.8651], [0.5000, 0.6923, 0.1349], [0.5000, 0.8077, 0.6349], [0.5000, 0.1923, 0.3651], [0.0000, 0.5000, 0.5000], [0.0000, 0.0000, 0.0000], [0.0000, 0.1306, 0.5366], [0.0000, 0.8694, 0.4634], [0.0000, 0.6306, 0.9634], [0.0000, 0.3694, 0.0366], [0.0000, 0.1631, 0.6975], [0.0000, 0.8369, 0.3025], [0.3018, 0.1940, 0.1107], [0.3018, 0.8060, 0.8893], [0.6982, 0.6940, 0.3893], [0.6982, 0.3060, 0.6107], [0.6982, 0.8060, 0.8893], [0.6982, 0.1940, 0.1107], [0.3018, 0.3060, 0.6107], [0.3018, 0.6940, 0.3893], [0.0000, 0.0196, 0.1843], [0.0000, 0.9804, 0.8157], [0.0000, 0.5196, 0.3157], [0.0000, 0.4804, 0.6843], [0.0000, 0.3369, 0.1975], [0.0000, 0.6631, 0.8025]], "ef_ev_per_atom": -0.401, "e_tot_ev_per_atom": -7.561, "n_ef_per_ev_atom": 0.477, "magnetic_moment_mub_per_atom": 0.243}

Entry 19:
{"formula": "PuAlCu2O6", "functional": "PBE", "state": "relaxed", "lattice": [[5.1654, -0.0003, -0.0013], [-2.5827, 4.4736, -0.0002], [-2.5815, -1.4905, 4.7737]], "species": ["Pu", "Al", "Cu", "Cu", "O", "O", "O", "O", "O", "O"], "frac_coords": [[0.9976, 0.9983, 0.9818], [0.9855, 0.4922, 0.4637], [0.5835, 0.7913, 0.3605], [0.5062, 0.2526, 0.7446], [0.4663, 0.8574, 0.6910], [0.5155, 0.1219, 0.2263], [0.8477, 0.7247, 0.2263], [0.1185, 0.3927, 0.2263], [0.8477, 0.6079, 0.6910], [0.0971, 0.2387, 0.6910]], "e_tot_ev_per_atom": -7.444, "formation_energy_uncorrected_ev_per_atom": -1.843, "n_ef_per_ev_atom": 0.557, "magnetic_moment_mub_per_atom": 0.098}

Entry 20:
{"formula": "HoTmTlRh", "functional": "PBE", "state": "relaxed", "lattice": [[-3.2262, 1.3675, -0.0965], [-1.3267, -3.0521, 1.1011], [0.7438, 2.2600, 7.1609]], "species": ["Ho", "Tm", "Tl", "Rh"], "frac_coords": [[0.5000, 0.5000, 0.3556], [0.5000, 0.5000, 0.7855], [0.0000, 0.0000, 0.0681], [0.0000, 0.0000, 0.5755]], "ef_ev_per_atom": -0.642, "e_tot_ev_per_atom": -5.333, "n_ef_per_ev_atom": 0.359, "de_polymorph_mev_per_atom": 0.0, "magnetic_moment_mub_per_atom": 0.000}